# MgMnCo2F | the Alexandria database | PBE with a Hubbard U | relaxed
# total DFT energy (no corrections): -4.344 eV per atom
# size of the total moment: 8.14 μB per cell
data_MgMnCo2F
_chemical_formula_sum 'Mg1 Mn1 Co2 F1'
_cell_length_a 4.450
_cell_length_b 4.450
_cell_length_c 3.829
_cell_angle_alpha 90.00
_cell_angle_beta 90.00
_cell_angle_gamma 90.00
_space_group_name_H-M_alt 'P 4/m m m'
_space_group_IT_number 123
_space_group_name_Hall '-P 4 2'
loop_
_atom_site_label
_atom_site_type_symbol
_atom_site_fract_x
_atom_site_fract_y
_atom_site_fract_z
Mg1 Mg 0.000 0.000 0.000
Mn1 Mn 0.500 0.500 0.000
Co1 Co 0.000 0.500 0.500
F1 F 0.000 0.000 0.500